Compound: Hg2PdI6
Source: Alexandria via LeMat-Bulk
Functional: PBE-GGA
Structure: optimized geometry

Computed properties:
E_tot: -1.89 eV per atom
magnetization: 0.00 μB/cell
excess energy over the best structure of this formula in the dataset: 0.000 eV/atom
uncorrected formation energy: -0.215 eV per atom

Cell lengths 13.7035, 12.3098, 8.6195 Å; angles 90.00, 90.21, 90.00 degrees
Last column: nearest neighbours and their distance in Å.
Space group C2/c (No. 15)
One atom of each set of equivalent atoms:
Hg 0.1825 0.0714 0.2946 x8  4 I 2.84-2.91
Pd 0.0000 0.4077 0.2500 x4  4 I 2.66
I 0.1107 0.4332 0.6379 x8  1 Pd 2.66, 1 Hg 2.89
I 0.1137 0.1029 0.6083 x8  2 Hg 2.84-2.89
I 0.1219 0.2643 0.1254 x8  1 Pd 2.66, 1 Hg 2.91

***

Compound: NaTaMn2
Source: Alexandria via LeMat-Bulk
Functional: PBE-GGA
Structure: optimized geometry

Computed properties:
E_tot: -6.82 eV per atom
magnetization: 18.86 μB/cell
ΔH_f (0 K): 1.0531 eV/atom
excess energy over the best structure of this formula in the dataset: 0.337 eV/atom
DOS(E_F): 10.93 states/eV per cell

Cell lengths 7.0355, 7.0355, 5.7395 Å; angles 90.00, 90.00, 90.00 degrees
Last column: nearest neighbours and their distance in Å.
Space group I-42d (No. 122)
One atom of each set of equivalent atoms:
Na 0.0000 0.0000 0.0000 x4  4 Mn 2.65, 2 Ta 2.87
Ta 0.0000 0.0000 0.5000 x4  4 Mn 2.53
Mn 0.2365 0.2500 0.6250 x8  2 Ta 2.53, 2 Na 2.65

***

Compound: LiGeCl3
Source: Alexandria via LeMat-Bulk
Functional: PBE-GGA
Structure: optimized geometry

Computed properties:
E_tot: -3.33 eV per atom
magnetization: 0.00 μB/cell
DOS(E_F): 0.00 states/eV per cell
uncorrected formation energy: -0.920 eV per atom

Cell lengths 5.2094, 5.2094, 5.2094 Å; angles 90.00, 90.00, 90.00 degrees
Last column: nearest neighbours and their distance in Å.
Space group Pm-3m (No. 221)
One atom of each set of equivalent atoms:
Li 0.0000 0.0000 0.0000 x1  12 Cl 3.68
Ge 0.5000 0.5000 0.5000 x1  6 Cl 2.60
Cl 0.0000 0.5000 0.5000 x3  2 Ge 2.60

***

Compound: TaWS3
Source: Alexandria via LeMat-Bulk
Functional: PBE-GGA
Structure: optimized geometry

Computed properties:
E_tot: -6.70 eV per atom
magnetization: 4.54 μB/cell
excess energy over the best structure of this formula in the dataset: 1.258 eV/atom
DOS(E_F): 5.68 states/eV per cell
uncorrected formation energy: 0.737 eV per atom

Cell lengths 4.7553, 4.7553, 4.7553 Å; angles 90.00, 90.00, 90.00 degrees
Last column: nearest neighbours and their distance in Å.
Space group Pm-3m (No. 221)
One atom of each set of equivalent atoms:
Ta 0.0000 0.0000 0.0000 x1  6 S 2.38
W 0.5000 0.5000 0.5000 x1  12 S 3.36
S 0.0000 0.0000 0.5000 x3  2 Ta 2.38

***

Compound: YSn
Source: Alexandria via LeMat-Bulk
Functional: PBE-GGA
Structure: optimized geometry

Computed properties:
E_tot: -4.90 eV per atom
magnetization: 0.00 μB/cell
ΔH_f (0 K): 0.3305 eV/atom
DOS(E_F): 12.77 states/eV per cell

Cell lengths 9.2829, 9.2829, 9.2829 Å; angles 90.00, 90.00, 90.00 degrees
Last column: nearest neighbours and their distance in Å.
Space group I-43m (No. 217)
One atom of each set of equivalent atoms:
Y 0.1909 0.1909 0.1909 x8  4 Sn 2.94-3.06
Sn 0.1261 0.1261 0.8739 x8  4 Y 2.94-3.06

***

Compound: CdCuNiSn
Source: Alexandria via LeMat-Bulk
Functional: PBE-GGA
Structure: optimized geometry

Computed properties:
E_tot: -3.66 eV per atom
magnetization: 0.00 μB/cell
ΔH_f (0 K): 0.0368 eV/atom
DOS(E_F): 10.06 states/eV per cell

Cell lengths 6.3885, 6.3885, 6.3885 Å; angles 90.00, 90.00, 90.00 degrees
Last column: nearest neighbours and their distance in Å.
Space group F-43m (No. 216)
One atom of each set of equivalent atoms:
Cd 0.0000 0.0000 0.0000 x4  4 Ni 2.77, 4 Cu 2.77
Cu 0.2500 0.2500 0.2500 x4  4 Cd 2.77, 4 Sn 2.77
Ni 0.2500 0.2500 0.7500 x4  4 Cd 2.77, 4 Sn 2.77
Sn 0.0000 0.0000 0.5000 x4  4 Cu 2.77, 4 Ni 2.77

***

Compound: ScTl2Br
Source: Alexandria via LeMat-Bulk
Functional: PBE-GGA
Structure: optimized geometry

Computed properties:
E_tot: -3.34 eV per atom
magnetization: 0.00 μB/cell
excess energy over the best structure of this formula in the dataset: 0.404 eV/atom
DOS(E_F): 4.63 states/eV per cell
uncorrected formation energy: -0.156 eV per atom

Cell lengths 4.7236, 4.7236, 9.5220 Å; angles 90.00, 90.00, 90.00 degrees
Last column: nearest neighbours and their distance in Å.
Space group I-4m2 (No. 119)
One atom of each set of equivalent atoms:
Sc 0.0000 0.0000 0.0000 x2  8 Tl 3.34-3.35, 4 Br 3.35
Tl 0.0000 0.0000 0.5000 x2  4 Sc 3.34, 4 Tl 3.35, 4 Br 3.35
Tl 0.0000 0.5000 0.7500 x2  4 Br 3.34, 4 Tl 3.35, 4 Sc 3.35
Br 0.0000 0.5000 0.2500 x2  8 Tl 3.34-3.35, 4 Sc 3.35

***

Compound: PbSe2Cl
Source: Alexandria via LeMat-Bulk
Functional: PBE-GGA
Structure: optimized geometry

Computed properties:
E_tot: -3.43 eV per atom
magnetization: 0.00 μB/cell
excess energy over the best structure of this formula in the dataset: 0.123 eV/atom
DOS(E_F): 2.95 states/eV per cell
uncorrected formation energy: -0.301 eV per atom

Cell lengths 4.0816, 4.0816, 11.8598 Å; angles 90.00, 90.00, 90.00 degrees
Last column: nearest neighbours and their distance in Å.
Space group I4/mmm (No. 139)
One atom of each set of equivalent atoms:
Pb 0.0000 0.0000 0.0000 x2  4 Cl 2.89
Se 0.0000 0.5000 0.2500 x4  4 Se 2.89
Cl 0.0000 0.0000 0.5000 x2  4 Pb 2.89

***

What did the fourth record say?
Compound: TaWS3
Source: Alexandria via LeMat-Bulk
Functional: PBE-GGA
Structure: optimized geometry

Computed properties:
E_tot: -6.70 eV per atom
magnetization: 4.54 μB/cell
excess energy over the best structure of this formula in the dataset: 1.258 eV/atom
DOS(E_F): 5.68 states/eV per cell
uncorrected formation energy: 0.737 eV per atom

Cell lengths 4.7553, 4.7553, 4.7553 Å; angles 90.00, 90.00, 90.00 degrees
Last column: nearest neighbours and their distance in Å.
Space group Pm-3m (No. 221)
One atom of each set of equivalent atoms:
Ta 0.0000 0.0000 0.0000 x1  6 S 2.38
W 0.5000 0.5000 0.5000 x1  12 S 3.36
S 0.0000 0.0000 0.5000 x3  2 Ta 2.38

***

Look up the magnetization of the second one. 18.86 μB/cell